No. 1
DFT (GGA-PBE) results for a relaxed K2GaW crystal.

Cell and atoms, written as extended XYZ:
```
8
Lattice="-6.2834 6.2834 2.5107 6.2834 -6.2834 2.5107 6.2834 6.2834 -2.5107" Properties=species:S:1:pos:R:3 pbc="T T T"
K 0.9264 3.1417 0.6277
K -3.1417 5.3570 1.8830
K -0.9264 9.4251 0.6277
K 3.1417 7.2098 1.8830
Ga 0.0000 0.0000 0.0000
Ga 0.0000 6.2834 1.2554
W 6.2834 0.0000 1.2554
W 0.0000 0.0000 2.5107
```

Summary:
The final energy comes out at -3.3041 eV per atom. The density of states at the Fermi level is 0.602 states/eV per atom. The energy relative to the elements comes out at 28.59 kcal/mol of atoms.



No. 2
DFT (GGA-PBE) results for a relaxed Sc2Se2S crystal.

Cell and atoms, written as extended XYZ:
```
10
Lattice="6.0817 -2.7297 0.0000 6.0817 2.7297 0.0000 -2.9396 0.0000 7.2076" Properties=species:S:1:pos:R:3 pbc="T T T"
Sc -0.7303 0.0000 2.0071
Sc 1.3425 0.0000 6.5107
Sc 7.8812 0.0000 0.6969
Sc 9.9541 0.0000 5.2005
Se 1.7942 0.0000 0.5814
Se 3.7570 0.0000 5.4353
Se 5.4668 0.0000 1.7722
Se 7.4296 0.0000 6.6261
S 0.1055 0.0000 4.3385
S 9.1183 0.0000 2.8691
```

Summary:
As for the offset from the most stable computed form: 14 kJ/mol of formula units. The final energy comes out at -6.4701 eV per atom. The value obtained for the uncorrected formation energy is -1.718 eV/atom.



No. 3
DFT (GGA-PBE) results for a relaxed MgZn2Se2 crystal.

Cell and atoms, written as extended XYZ:
```
10
Lattice="2.8730 -2.8739 0.0000 2.8730 2.8739 0.0000 0.0000 0.0000 15.5888" Properties=species:S:1:pos:R:3 pbc="T T T"
Mg 2.8730 1.5587 11.6916
Mg 2.8730 -1.5587 3.8972
Zn 1.4431 0.0000 0.0000
Zn 1.4431 0.0000 7.7944
Zn 4.3029 0.0000 0.0000
Zn 4.3029 0.0000 7.7944
Se 2.8730 1.4499 1.5529
Se 2.8730 1.4499 6.2415
Se 2.8730 -1.4499 9.3472
Se 2.8730 -1.4499 14.0359
```

Summary:
As for the offset from the most stable computed form: 150 kJ/mol of formula units. The final energy comes out at -2.4442 eV per atom. The density of states at the Fermi level is 0.037 states/eV per atom. The value obtained for the uncorrected formation energy is -0.222 eV/atom.



No. 4
DFT (GGA-PBE) results for a relaxed TiTc2PtC crystal.

Cell and atoms, written as extended XYZ:
```
5
Lattice="4.0306 0.0000 0.0000 0.0000 4.0306 0.0000 0.0000 0.0000 4.1691" Properties=species:S:1:pos:R:3 pbc="T T T"
Ti 0.0000 0.0000 0.0000
Tc 0.0000 2.0153 2.0845
Tc 2.0153 0.0000 2.0845
Pt 2.0153 2.0153 0.0000
C 0.0000 0.0000 2.0845
```

Summary:
The final energy comes out at -9.1067 eV per atom. The density of states at the Fermi level is 0.570 states/eV per atom. The energy relative to the elements comes out at -7.57 kcal/mol of atoms.



No. 5
DFT (GGA-PBE) results for a relaxed TlFeAg2 crystal.

Cell and atoms, written as extended XYZ:
```
4
Lattice="1.5308 0.8838 9.2881 -1.5308 0.8838 9.2881 0.0000 -1.7677 9.2881" Properties=species:S:1:pos:R:3 pbc="T T T"
Tl 0.0000 0.0000 0.0000
Fe 0.0000 0.0000 6.9895
Ag 0.0000 0.0000 14.1863
Ag 0.0000 0.0000 21.1519
```

Summary:
As for the offset from the most stable computed form: 32 kJ/mol of formula units. The final energy comes out at -3.6804 eV per atom. The density of states at the Fermi level is 0.818 states/eV per atom. The energy relative to the elements comes out at 10.43 kcal/mol of atoms.



No. 6
DFT (GGA-PBE) results for a relaxed ZnAgSn2 crystal.

Cell and atoms, written as extended XYZ:
```
8
Lattice="-2.2506 2.2506 9.4015 2.2506 -2.2506 9.4015 2.2506 2.2506 -9.4015" Properties=species:S:1:pos:R:3 pbc="T T T"
Zn 0.0000 0.0000 0.0000
Zn 0.0000 2.2506 4.7007
Ag 2.2506 0.0000 4.7007
Ag 0.0000 0.0000 9.4015
Sn 3.3759 1.1063 -2.3504
Sn 1.1063 1.1253 2.3504
Sn -1.1253 1.1443 7.0511
Sn 1.1443 1.1253 11.7518
```

Summary:
The final energy comes out at -2.9006 eV per atom. The density of states at the Fermi level is 0.363 states/eV per atom. The energy relative to the elements comes out at 3.05 kcal/mol of atoms.



No. 7
DFT (GGA-PBE) results for a relaxed LiFeNiRu crystal.

Cell and atoms, written as extended XYZ:
```
4
Lattice="0.0000 2.8720 2.8720 2.8720 0.0000 2.8720 2.8720 2.8720 0.0000" Properties=species:S:1:pos:R:3 pbc="T T T"
Li 0.0000 0.0000 0.0000
Fe 2.8720 2.8720 2.8720
Ni 1.4360 1.4360 1.4360
Ru 4.3080 4.3080 4.3080
```

Summary:
The final energy comes out at -6.2150 eV per atom. The density of states at the Fermi level is 1.603 states/eV per atom. The energy relative to the elements comes out at 3.31 kcal/mol of atoms.



No. 8
DFT (GGA-PBE) results for a relaxed Sc2AgHg2 crystal.

Cell and atoms, written as extended XYZ:
```
10
Lattice="-2.9832 6.8563 2.7451 2.9832 -6.8563 2.7451 2.9832 6.8563 -2.7451" Properties=species:S:1:pos:R:3 pbc="T T T"
Sc 1.0761 2.3831 0.0000
Sc 1.0761 -2.3831 2.7451
Sc 1.9071 9.2395 0.0000
Sc 1.9071 4.4732 2.7451
Ag 0.0000 0.0000 1.3726
Ag 0.0000 0.0000 4.1177
Hg 3.8950 1.5598 0.0000
Hg 0.9117 5.2965 0.0000
Hg 2.0715 1.5598 2.7451
Hg -0.9117 5.2965 2.7451
```

Summary:
As for the offset from the most stable computed form: 50 kJ/mol of formula units. The final energy comes out at -3.3922 eV per atom. The density of states at the Fermi level is 0.932 states/eV per atom. The energy relative to the elements comes out at -3.89 kcal/mol of atoms.